VASP calculation (PBE+U) on CoBI2O after structural relaxation.

Cell lengths 5.6454, 5.6454, 3.5729 Å; angles 90.00, 90.00, 90.00 degrees
Last column: magnetic moment on the atom in μB.
Atoms (fractional coordinates):
B1 0.5000 0.5000 0.5000  0.00
O1 0.0000 0.0000 0.5000  0.45
I1 0.5000 0.0000 0.0000  0.10
I2 0.0000 0.5000 0.0000  0.10
Co1 0.0000 0.0000 0.0000  2.51

Output
energy above the lowest structure with this stoichiometry = 273 meV per atom
M_tot = 0.672 μB per atom
D(E_F) = 2.17 states/eV per cell